Entry 1:
## CuIr2Se (PBE)

Data for an optimized crystal structure of CuIr2Se.

Geometry as POSCAR:
```
CuIr2Se
1.0
1.441 0.832 8.318
-1.441 0.832 8.318
0.000 -1.664 8.318
Cu Ir Se
1 2 1
Direct
0.000 0.000 0.000
0.502 0.502 0.502
0.749 0.749 0.749
0.250 0.250 0.250
```

Properties
**DFT total energy**: -5.979 eV per atom
**Formation energy from raw total energies**: 0.3462 eV per atom


Entry 2:
## TlZnCu (PBE)

Data for an optimized crystal structure of TlZnCu.

Geometry as POSCAR:
```
TlZnCu
1.0
-1.622 1.622 5.527
1.622 -1.622 5.527
1.622 1.622 -5.527
Tl Zn Cu
1 1 1
Direct
0.000 0.000 0.000
0.714 0.714 0.000
0.308 0.308 0.000
```

Properties
**DFT total energy**: -2.376 eV per atom
**Distance to the lowest polymorph of the same formula**: 0 meV per atom
**ΔH_f (0 K)**: 0.61 eV per formula unit


Entry 3:
## Ta2CrCu (PBE)

Data for an optimized crystal structure of Ta2CrCu.

Geometry as POSCAR:
```
Ta2CrCu
1.0
2.736 0.000 0.000
0.000 4.012 0.000
-1.027 0.000 5.588
Ta Cr Cu
2 1 1
Direct
0.076 0.000 0.261
0.924 0.000 0.739
0.500 0.500 0.500
0.500 0.500 0.000
```

Properties
**DFT total energy**: -9.148 eV per atom
**ΔH_f (0 K)**: 0.83 eV per formula unit


Entry 4:
## Li2PrNdSe4 (PBE)

Data for an optimized crystal structure of Li2PrNdSe4.

Geometry as POSCAR:
```
Li2PrNdSe4
1.0
6.973 0.000 0.000
0.000 4.226 0.000
-2.549 0.000 6.856
Li Pr Nd Se
2 1 1 4
Direct
0.000 0.000 0.000
0.000 0.500 0.500
0.500 0.000 0.500
0.500 0.500 0.000
0.239 0.500 0.245
0.240 0.000 0.749
0.760 0.000 0.251
0.761 0.500 0.755
```

Properties
**DFT total energy**: -5.071 eV per atom
**Formation energy from raw total energies**: -1.6565 eV per atom


Entry 5:
## DyGaIrPd (PBE)

Data for an optimized crystal structure of DyGaIrPd.

Geometry as POSCAR:
```
DyGaIrPd
1.0
0.000 3.280 3.280
3.280 0.000 3.280
3.280 3.280 0.000
Dy Ga Ir Pd
1 1 1 1
Direct
0.000 0.000 0.000
0.500 0.500 0.500
0.250 0.250 0.250
0.750 0.750 0.750
```

Properties
**DFT total energy**: -6.102 eV per atom
**ΔH_f (0 K)**: -2.72 eV per formula unit


Entry 6:
## AgRuW (PBE)

Data for an optimized crystal structure of AgRuW.

Geometry as POSCAR:
```
AgRuW
1.0
-1.413 1.949 4.260
1.413 -1.949 4.260
1.413 1.949 -4.260
Ag Ru W
1 1 1
Direct
0.000 0.000 0.000
0.674 0.674 0.000
0.323 0.323 0.000
```

Properties
**DFT total energy**: -7.949 eV per atom
**Distance to the lowest polymorph of the same formula**: 105 meV per atom
**ΔH_f (0 K)**: 1.23 eV per formula unit


Entry 7:
## PrGdZnRh (PBE)

Data for an optimized crystal structure of PrGdZnRh.

Geometry as POSCAR:
```
PrGdZnRh
1.0
0.000 3.585 3.585
3.585 0.000 3.585
3.585 3.585 0.000
Pr Gd Zn Rh
1 1 1 1
Direct
0.000 0.000 0.000
0.500 0.500 0.500
0.250 0.250 0.250
0.750 0.750 0.750
```

Properties
**DFT total energy**: -7.370 eV per atom
**ΔH_f (0 K)**: -1.99 eV per formula unit


Entry 8:
## SrLiLa2 (PBE)

Data for an optimized crystal structure of SrLiLa2.

Geometry as POSCAR:
```
SrLiLa2
1.0
5.824 0.000 0.000
0.000 5.824 0.000
0.000 0.000 4.409
Sr Li La
1 1 2
Direct
0.000 0.000 0.000
0.500 0.500 0.000
0.000 0.500 0.500
0.500 0.000 0.500
```

Properties
**DFT total energy**: -3.108 eV per atom
**Distance to the lowest polymorph of the same formula**: 180 meV per atom
**ΔH_f (0 K)**: 1.02 eV per formula unit